Entry 1:
# Ac3PuCl2O6 (PBE-GGA, optimized geometry)
data_Ac3PuCl2O6
_cell_length_a 13.028
_cell_length_b 7.191
_cell_length_c 5.654
_cell_angle_alpha 90.00
_cell_angle_beta 99.26
_cell_angle_gamma 90.00
_symmetry_space_group_name_H-M 'C 1 2/m 1'
_symmetry_Int_Tables_number 12
loop_
_symmetry_equiv_pos_as_xyz
'x,y,z'
'-x,-y,-z'
'-x,y,-z'
'x,-y,z'
'x+1/2,y+1/2,z'
'-x+1/2,-y+1/2,-z'
'-x+1/2,y+1/2,-z'
'x+1/2,-y+1/2,z'
loop_
_atom_site_label
_atom_site_fract_x
_atom_site_fract_y
_atom_site_fract_z
Ac1 0.000 0.000 0.000
Ac2 0.250 0.250 0.500
Pu1 0.000 0.500 0.500
Cl1 0.210 0.000 0.886
O1 0.066 0.259 0.305
O2 0.155 0.500 0.658
# E_form (uncorrected) in kJ per mole of atoms: -265.1
# Electronic total energy in eV for the cell shown: -186.13

Entry 2:
# LiSb3 (PBE-GGA, optimized geometry)
data_LiSb3
_cell_length_a 10.1121
_cell_length_b 10.1121
_cell_length_c 3.4670
_cell_angle_alpha 90.00
_cell_angle_beta 90.00
_cell_angle_gamma 120.00
_symmetry_space_group_name_H-M 'R -3 m'
_symmetry_Int_Tables_number 166
_symmetry_space_group_name_Hall '-R 3 2"'
loop_
_atom_site_label
_atom_site_fract_x
_atom_site_fract_y
_atom_site_fract_z
Li1 0.0000 0.0000 0.0000
Sb1 0.0000 0.5000 0.0000
# E_form (uncorrected) in kJ per mole of atoms: -0.9
# Distance to the lowest polymorph of the same formula in kcal/mol of atoms: 2.92
# Electronic total energy in eV for the cell shown: -42.95

Entry 3:
# Th2FeBi (PBE-GGA, optimized geometry)
data_Th2FeBi
_cell_length_a 6.167
_cell_length_b 4.494
_cell_length_c 8.624
_cell_angle_alpha 90.00
_cell_angle_beta 102.54
_cell_angle_gamma 90.00
_symmetry_space_group_name_H-M 'P 1 2/m 1'
_symmetry_Int_Tables_number 10
loop_
_symmetry_equiv_pos_as_xyz
'x,y,z'
'-x,-y,-z'
'-x,y,-z'
'x,-y,z'
loop_
_atom_site_label
_atom_site_fract_x
_atom_site_fract_y
_atom_site_fract_z
Th1 0.000 0.000 0.000
Th2 0.187 0.500 0.377
Th3 0.500 0.500 0.000
Fe1 0.171 0.500 0.107
Bi1 0.283 0.000 0.684
# Distance to the lowest polymorph of the same formula in kcal/mol of atoms: 2.19
# Energy relative to the elements in eV/atom: -0.077
# Electronic total energy in eV for the cell shown: -54.99

Entry 4:
# PaCuAg2S4 (PBE-GGA, optimized geometry)
data_PaCuAg2S4
_cell_length_a 3.753
_cell_length_b 12.334
_cell_length_c 13.699
_cell_angle_alpha 90.00
_cell_angle_beta 90.00
_cell_angle_gamma 90.00
_symmetry_space_group_name_H-M 'C m c m'
_symmetry_Int_Tables_number 63
_symmetry_space_group_name_Hall '-C 2c 2'
loop_
_atom_site_label
_atom_site_fract_x
_atom_site_fract_y
_atom_site_fract_z
Pa1 0.000 0.127 0.250
Cu1 0.000 0.148 0.750
Ag1 0.000 0.374 0.059
S1 0.000 0.000 0.000
S2 0.000 0.285 0.629
S3 0.000 0.465 0.250
# E_form (uncorrected) in kJ per mole of atoms: -55.3
# Electronic total energy in eV for the cell shown: -161.56

no.,DOS at the Fermi energy (states/eV per cell)
1,17.614
2,6.573
3,6.349
4,9.682